# 1
Below is a relaxed VZn4Pt crystal, with properties calculated at the GGA-PBE level.

- Density: 9.762 g/cm3
- Final energy: -83.9 eV/cell
- ΔH_f (0 K): -0.118 eV/atom
- Crystal system: cubic
- Total magnetization: 12.0 μB per cell

Lattice parameters (Å, degrees): 7.016 7.016 7.016 90.00 90.00 90.00
Space group F-43m (No. 216)
Inequivalent atoms, fractional coordinates:
V (0.000, 0.000, 0.000) (multiplicity 4)
Zn (0.125, 0.125, 0.625) (multiplicity 16)
Pt (0.250, 0.250, 0.250) (multiplicity 4)

---

# 2
Below is a relaxed VZn3Pt4 crystal, with properties calculated at the GGA-PBE level.

- Density: 14.640 g/cm3
- Final energy: -41.7 eV/cell
- ΔH_f (0 K): -0.570 eV/atom
- Crystal system: tetragonal
- Total magnetization: 0.0 μB per cell

Lattice parameters (Å, degrees): 2.824 2.824 14.609 90.00 90.00 90.00
Space group P4/mmm (No. 123)
Inequivalent atoms, fractional coordinates:
V (0.000, 0.000, 0.000) (multiplicity 1)
Zn (0.000, 0.000, 0.253) (multiplicity 2)
Zn (0.000, 0.000, 0.500) (multiplicity 1)
Pt (0.500, 0.500, 0.123) (multiplicity 2)
Pt (0.500, 0.500, 0.376) (multiplicity 2)

---

# 3
Below is a relaxed V3ZnPt crystal, with properties calculated at the GGA-PBE level.

- Density: 6.834 g/cm3
- Final energy: -29.3 eV/cell
- ΔH_f (0 K): 1.065 eV/atom
- Crystal system: cubic
- Energy above the most stable polymorph in this dataset: 0.000 eV per formula unit
- Total magnetization: 0.0 μB per cell

Lattice parameters (Å, degrees): 4.648 4.648 4.648 90.00 90.00 90.00
Space group Pm-3m (No. 221)
Inequivalent atoms, fractional coordinates:
V (0.000, 0.000, 0.500) (multiplicity 3)
Zn (0.500, 0.500, 0.500) (multiplicity 1)
Pt (0.000, 0.000, 0.000) (multiplicity 1)

---

# 4
Below is a relaxed VZnPt4 crystal, with properties calculated at the GGA-PBE level.

- Density: 14.581 g/cm3
- Final energy: -72.3 eV/cell
- ΔH_f (0 K): -0.267 eV/atom
- Crystal system: monoclinic
- Energy above the most stable polymorph in this dataset: 0.347 eV per formula unit
- Total magnetization: 0.0 μB per cell

Lattice parameters (Å, degrees): 7.778 3.875 7.600 90.00 116.94 90.00
Space group C2/m (No. 12)
Inequivalent atoms, fractional coordinates:
V (0.000, 0.000, 0.000) (multiplicity 2)
Zn (0.000, 0.500, 0.500) (multiplicity 2)
Pt (0.127, 0.500, 0.877) (multiplicity 4)
Pt (0.132, 0.000, 0.368) (multiplicity 4)

---

# 5
Below is a relaxed VZnPt4 crystal, with properties calculated at the GGA-PBE level.

- Density: 16.326 g/cm3
- Final energy: -36.5 eV/cell
- ΔH_f (0 K): -0.325 eV/atom
- Crystal system: tetragonal
- Energy above the most stable polymorph in this dataset: 0.000 eV per formula unit
- Total magnetization: 0.0 μB per cell

Lattice parameters (Å, degrees): 3.208 3.208 8.861 90.00 90.00 90.00
Space group P4/mmm (No. 123)
Inequivalent atoms, fractional coordinates:
V (0.000, 0.000, 0.000) (multiplicity 1)
Zn (0.500, 0.500, 0.500) (multiplicity 1)
Pt (0.000, 0.000, 0.338) (multiplicity 2)
Pt (0.500, 0.500, 0.149) (multiplicity 2)

---

# 6
Below is a relaxed V2ZnPt3 crystal, with properties calculated at the GGA-PBE level.

- Density: 14.430 g/cm3
- Final energy: -41.1 eV/cell
- ΔH_f (0 K): -0.578 eV/atom
- Crystal system: tetragonal
- Total magnetization: 0.0 μB per cell

Lattice parameters (Å, degrees): 2.751 2.751 11.439 90.00 90.00 90.00
Space group P4/mmm (No. 123)
Inequivalent atoms, fractional coordinates:
V (0.000, 0.000, 0.169) (multiplicity 2)
Zn (0.000, 0.000, 0.500) (multiplicity 1)
Pt (0.500, 0.500, 0.000) (multiplicity 1)
Pt (0.500, 0.500, 0.330) (multiplicity 2)

---

# 7
Below is a relaxed ZrVPt6 crystal, with properties calculated at the GGA-PBE level.

- Density: 17.156 g/cm3
- Final energy: -59.7 eV/cell
- ΔH_f (0 K): -0.719 eV/atom
- Crystal system: tetragonal
- Total magnetization: 1.3 μB per cell

Lattice parameters (Å, degrees): 3.986 3.986 7.995 90.00 90.00 90.00
Space group P4/mmm (No. 123)
Inequivalent atoms, fractional coordinates:
Zr (0.000, 0.000, 0.000) (multiplicity 1)
V (0.000, 0.000, 0.500) (multiplicity 1)
Pt (0.000, 0.500, 0.258) (multiplicity 4)
Pt (0.500, 0.500, 0.000) (multiplicity 1)
Pt (0.500, 0.500, 0.500) (multiplicity 1)

---

# 8
Below is a relaxed Zr2V2Pt crystal, with properties calculated at the GGA-PBE level.

- Density: 8.865 g/cm3
- Final energy: -84.8 eV/cell
- ΔH_f (0 K): -0.201 eV/atom
- Crystal system: tetragonal
- Total magnetization: 0.0 μB per cell

Lattice parameters (Å, degrees): 6.578 6.578 4.151 90.00 90.00 90.00
Space group P4/mbm (No. 127)
Inequivalent atoms, fractional coordinates:
Zr (0.175, 0.325, 0.000) (multiplicity 4)
V (0.128, 0.628, 0.500) (multiplicity 4)
Pt (0.000, 0.000, 0.500) (multiplicity 2)

---

# 9
Below is a relaxed Zr3VPt crystal, with properties calculated at the GGA-PBE level.

- Density: 7.905 g/cm3
- Final energy: -38.3 eV/cell
- ΔH_f (0 K): 0.503 eV/atom
- Crystal system: cubic
- Energy above the most stable polymorph in this dataset: 0.000 eV per formula unit
- Total magnetization: 0.0 μB per cell

Lattice parameters (Å, degrees): 4.779 4.779 4.779 90.00 90.00 90.00
Space group Pm-3m (No. 221)
Inequivalent atoms, fractional coordinates:
Zr (0.000, 0.000, 0.500) (multiplicity 3)
V (0.000, 0.000, 0.000) (multiplicity 1)
Pt (0.500, 0.500, 0.500) (multiplicity 1)

---

# 10
Below is a relaxed ZrVPt3 crystal, with properties calculated at the GGA-PBE level.

- Density: 12.182 g/cm3
- Final energy: -34.7 eV/cell
- ΔH_f (0 K): 0.212 eV/atom
- Crystal system: cubic
- Energy above the most stable polymorph in this dataset: 0.000 eV per formula unit
- Total magnetization: 0.0 μB per cell

Lattice parameters (Å, degrees): 4.628 4.628 4.628 90.00 90.00 90.00
Space group Pm-3m (No. 221)
Inequivalent atoms, fractional coordinates:
Zr (0.000, 0.000, 0.000) (multiplicity 1)
V (0.500, 0.500, 0.500) (multiplicity 1)
Pt (0.000, 0.500, 0.500) (multiplicity 3)

---

# 11
Below is a relaxed Zr2VPt2 crystal, with properties calculated at the GGA-PBE level.

- Density: 10.793 g/cm3
- Final energy: -82.8 eV/cell
- ΔH_f (0 K): -0.625 eV/atom
- Crystal system: tetragonal
- Total magnetization: 6.2 μB per cell

Lattice parameters (Å, degrees): 7.447 7.447 3.459 90.00 90.00 90.00
Space group P4/mbm (No. 127)
Inequivalent atoms, fractional coordinates:
Zr (0.171, 0.329, 0.000) (multiplicity 4)
V (0.000, 0.000, 0.500) (multiplicity 2)
Pt (0.132, 0.632, 0.500) (multiplicity 4)

---

# 12
Below is a relaxed ZrV3Pt crystal, with properties calculated at the GGA-PBE level.

- Density: 7.188 g/cm3
- Final energy: -37.7 eV/cell
- ΔH_f (0 K): 0.840 eV/atom
- Crystal system: cubic
- Energy above the most stable polymorph in this dataset: 0.000 eV per formula unit
- Total magnetization: 2.8 μB per cell

Lattice parameters (Å, degrees): 4.664 4.664 4.664 90.00 90.00 90.00
Space group Pm-3m (No. 221)
Inequivalent atoms, fractional coordinates:
Zr (0.000, 0.000, 0.000) (multiplicity 1)
V (0.000, 0.500, 0.500) (multiplicity 3)
Pt (0.500, 0.500, 0.500) (multiplicity 1)

---

Question: The highest total magnetization belongs to which entry?
Answer: VZn4Pt